Record 1
## VFe3P (PBE)

Data for a relaxed structure of VFe3P.

Lattice parameters (Å, degrees): 4.1400 4.1400 4.1400 90.00 90.00 90.00
Fractional positions:
V 0.0000 0.0000 0.0000
Fe 0.0000 0.5000 0.5000
Fe 0.5000 0.0000 0.5000
Fe 0.5000 0.5000 0.0000
P 0.5000 0.5000 0.5000

energy above the most stable polymorph in this dataset: 0 meV/atom
E_form: 7.4 kcal/mol of atoms
total energy: -7.66 eV/atom
magnetization: 3.0 μB/f.u.

***

Record 2
## V2Fe4P (PBE)

Data for a relaxed structure of V2Fe4P.

Lattice parameters (Å, degrees): 6.7090 6.7090 6.7090 144.79 144.79 50.65
Fractional positions:
V 0.1355 0.1355 0.0000
V 0.8645 0.8645 0.0000
Fe 0.0000 0.5000 0.5000
Fe 0.3159 0.3159 0.0000
Fe 0.5000 0.0000 0.5000
Fe 0.6841 0.6841 0.0000
P 0.5000 0.5000 0.0000

E_form: 12.0 kcal/mol of atoms
total energy: -7.69 eV/atom
magnetization: 2.6 μB/f.u.

***

Record 3
## V4Fe2P (PBE)

Data for a relaxed structure of V4Fe2P.

Lattice parameters (Å, degrees): 6.6343 6.6343 6.6343 142.56 142.56 53.98
Fractional positions:
V 0.0000 0.5000 0.5000
V 0.1949 0.1949 0.0000
V 0.5000 0.0000 0.5000
V 0.8051 0.8051 0.0000
Fe 0.3777 0.3777 0.0000
Fe 0.6223 0.6223 0.0000
P 0.0000 0.0000 0.0000

E_form: 10.7 kcal/mol of atoms
total energy: -7.94 eV/atom
magnetization: 0.6 μB/f.u.

***

Record 4
## VFeP3 (PBE)

Data for a relaxed structure of VFeP3.

Lattice parameters (Å, degrees): 4.3433 4.3433 4.3433 90.00 90.00 90.00
Fractional positions:
V 0.0000 0.0000 0.0000
Fe 0.5000 0.5000 0.5000
P 0.0000 0.5000 0.5000
P 0.5000 0.0000 0.5000
P 0.5000 0.5000 0.0000

energy above the most stable polymorph in this dataset: 0 meV/atom
E_form: 13.9 kcal/mol of atoms
total energy: -6.16 eV/atom
magnetization: 3.8 μB/f.u.

***

Record 5
## V3FeP (PBE)

Data for a relaxed structure of V3FeP.

Lattice parameters (Å, degrees): 4.3043 4.3043 4.3043 90.00 90.00 90.00
Fractional positions:
V 0.0000 0.0000 0.5000
V 0.0000 0.5000 0.0000
V 0.5000 0.0000 0.0000
Fe 0.5000 0.5000 0.5000
P 0.0000 0.0000 0.0000

energy above the most stable polymorph in this dataset: 0 meV/atom
E_form: 10.1 kcal/mol of atoms
total energy: -7.81 eV/atom
magnetization: 0.1 μB/f.u.

***

Record 6
## V3FeP (PBE)

Data for a relaxed structure of V3FeP.

Lattice parameters (Å, degrees): 4.2476 4.2476 4.2476 90.00 90.00 90.00
Fractional positions:
V 0.0000 0.0000 0.5000
V 0.0000 0.5000 0.0000
V 0.5000 0.0000 0.0000
Fe 0.0000 0.0000 0.0000
P 0.5000 0.5000 0.5000

energy above the most stable polymorph in this dataset: 253 meV/atom
E_form: 15.9 kcal/mol of atoms
total energy: -7.56 eV/atom
magnetization: 0.0 μB/f.u.

***

total energy of number 1 (VFe3P)? -7.66 eV/atom